CdTeAu2: single point on PBEsol structure, meta-GGA SCAN.

Results
E above lowest polymorph ... 0.0 kJ per mole of atoms
DOS at the Fermi energy ... 0.287 states/eV/atom
Formation energy (no corrections) ... -0.13 eV per atom

Lattice parameters (Å, degrees): 2.985 4.024 6.967 90.00 90.00 90.00
Space group Pmmm (No. 47)
One atom of each set of equivalent atoms:
Cd 0.000 0.000 0.000
Te 0.500 0.000 0.500
Au 0.500 0.500 0.206